Entry 1:
# BaCrOs PBEsol optimized geometry
# **Offset from the most stable computed form**: 0.789 eV/atom
# **Calculated formation energy**: 2342 meV per atom
data_BaCrOs
_cell_length_a 6.661
_cell_length_b 6.661
_cell_length_c 6.661
_cell_angle_alpha 90.00
_cell_angle_beta 90.00
_cell_angle_gamma 90.00
_symmetry_space_group_name_H-M 'F -4 3 m'
_symmetry_Int_Tables_number 216
_symmetry_space_group_name_Hall 'F -4 2 3'
loop_
_atom_site_label
_atom_site_fract_x
_atom_site_fract_y
_atom_site_fract_z
Ba1 0.000 0.000 0.000
Cr1 0.250 0.250 0.250
Os1 0.250 0.250 0.750

***

Entry 2:
# Zr3Si PBEsol optimized geometry
# **Formation energy without anion corrections**: -2.23 eV per formula unit
data_Zr3Si
_cell_length_a 6.926
_cell_length_b 8.458
_cell_length_c 5.491
_cell_angle_alpha 90.00
_cell_angle_beta 90.00
_cell_angle_gamma 90.00
_symmetry_space_group_name_H-M 'P n m a'
_symmetry_Int_Tables_number 62
_symmetry_space_group_name_Hall '-P 2ac 2n'
loop_
_atom_site_label
_atom_site_fract_x
_atom_site_fract_y
_atom_site_fract_z
Zr1 0.022 0.250 0.114
Zr2 0.186 0.041 0.638
Si1 0.110 0.750 0.413

***

Entry 3:
# ReP2SeS PBEsol optimized geometry
# **Formation energy without anion corrections**: 8.67 eV per formula unit
data_ReP2SeS
_cell_length_a 4.452
_cell_length_b 4.452
_cell_length_c 4.461
_cell_angle_alpha 90.00
_cell_angle_beta 90.00
_cell_angle_gamma 90.00
_symmetry_space_group_name_H-M 'P 4/m m m'
_symmetry_Int_Tables_number 123
_symmetry_space_group_name_Hall '-P 4 2'
loop_
_atom_site_label
_atom_site_fract_x
_atom_site_fract_y
_atom_site_fract_z
Re1 0.000 0.000 0.000
P1 0.000 0.500 0.500
Se1 0.500 0.500 0.500
S1 0.500 0.500 0.000

***

Entry 4:
# BaAl2Au2 PBEsol optimized geometry
# **Calculated formation energy**: -609 meV per atom
data_BaAl2Au2
_cell_length_a 4.447
_cell_length_b 4.447
_cell_length_c 11.353
_cell_angle_alpha 90.00
_cell_angle_beta 90.00
_cell_angle_gamma 90.00
_symmetry_space_group_name_H-M 'I 4/m m m'
_symmetry_Int_Tables_number 139
_symmetry_space_group_name_Hall '-I 4 2'
loop_
_atom_site_label
_atom_site_fract_x
_atom_site_fract_y
_atom_site_fract_z
Ba1 0.000 0.000 0.000
Al1 0.000 0.500 0.250
Au1 0.000 0.000 0.368